Record 1
DFT (PBE) results for an optimized crystal structure of NaTbSi2O6.

abc: 5.5374 9.4601 9.7993
angles: 117.29 97.08 99.93
With the nearest neighbours (Å) after each atom.
Fractional positions:
Na1 0.0000 0.0000 0.0000  6 O 2.36-2.59
Na2 0.1705 0.6017 0.9353  4 O 2.31-2.46
Na3 0.8295 0.3983 0.0647  4 O 2.31-2.46
Tb1 0.0000 0.5000 0.5000  6 O 2.27-2.34
Tb2 0.3189 0.7781 0.3660  6 O 2.24-2.36
Tb3 0.6811 0.2219 0.6340  6 O 2.24-2.36
Si1 0.1075 0.1188 0.3655  4 O 1.62-1.65
Si2 0.2268 0.2372 0.8743  4 O 1.61-1.67
Si3 0.3939 0.3622 0.2506  4 O 1.60-1.66
Si4 0.6061 0.6378 0.7494  4 O 1.60-1.66
Si5 0.7732 0.7628 0.1257  4 O 1.61-1.67
Si6 0.8925 0.8812 0.6345  4 O 1.62-1.65
O1 0.0178 0.3208 0.8338  1 Si 1.62
O2 0.0332 0.7565 0.5162  1 Si 1.62
O3 0.1043 0.0347 0.7887  2 Si 1.65-1.66
O4 0.2488 0.2875 0.0631  2 Si 1.66-1.67
O5 0.2599 0.2123 0.2823  2 Si 1.65-1.66
O6 0.2971 0.5251 0.3568  1 Si 1.64
O7 0.3015 0.0511 0.4452  1 Si 1.63
O8 0.3068 0.6106 0.7243  1 Si 1.60
O9 0.4962 0.2808 0.8379  1 Si 1.61
O10 0.5038 0.7192 0.1621  1 Si 1.61
O11 0.6932 0.3894 0.2757  1 Si 1.60
O12 0.6985 0.9489 0.5548  1 Si 1.63
O13 0.7029 0.4749 0.6432  1 Si 1.64
O14 0.7401 0.7877 0.7177  2 Si 1.65-1.66
O15 0.7512 0.7125 0.9369  2 Si 1.66-1.67
O16 0.8957 0.9653 0.2113  2 Si 1.65-1.66
O17 0.9668 0.2435 0.4838  1 Si 1.62
O18 0.9822 0.6792 0.1662  1 Si 1.62

Calculated values
Its energy relative to the lowest polymorph listed for this composition is 0.000 eV per atom. As for the crystal system: triclinic. The symmetry is P-1, No. 2.

---

Record 2
DFT (PBE) results for an optimized crystal structure of NaTbSi2O6.

abc: 5.4824 13.9231 7.7048
angles: 90.00 109.80 90.00
With the nearest neighbours (Å) after each atom.
Fractional positions:
Na1 0.1359 0.2256 0.0522  3 O 2.33-2.42
Na2 0.1359 0.2744 0.5522  3 O 2.33-2.42
Na3 0.8641 0.7256 0.4478  3 O 2.33-2.42
Na4 0.8641 0.7744 0.9478  3 O 2.33-2.42
Tb1 0.0162 0.5066 0.7521  6 O 2.24-2.51
Tb2 0.0162 0.9934 0.2521  6 O 2.24-2.51
Tb3 0.9838 0.0066 0.7479  6 O 2.24-2.51
Tb4 0.9838 0.4934 0.2479  6 O 2.24-2.51
Si1 0.4163 0.6375 0.0656  4 O 1.60-1.67
Si2 0.4163 0.8625 0.5656  4 O 1.60-1.67
Si3 0.4263 0.6408 0.6429  4 O 1.61-1.67
Si4 0.4263 0.8592 0.1429  4 O 1.61-1.67
Si5 0.5737 0.1408 0.8571  4 O 1.61-1.67
Si6 0.5737 0.3592 0.3571  4 O 1.61-1.67
Si7 0.5837 0.1375 0.4344  4 O 1.60-1.67
Si8 0.5837 0.3625 0.9344  4 O 1.60-1.67
O1 0.1974 0.5629 0.0797  1 Si 1.62
O2 0.1974 0.9371 0.5797  1 Si 1.62
O3 0.2075 0.5681 0.5148  1 Si 1.62
O4 0.2075 0.9319 0.0148  1 Si 1.62
O5 0.2709 0.1341 0.8328  1 Si 1.61
O6 0.2709 0.3659 0.3328  1 Si 1.61
O7 0.2884 0.1224 0.3048  1 Si 1.60
O8 0.2884 0.3776 0.8048  1 Si 1.60
O9 0.3154 0.7485 0.0809  2 Si 1.66-1.67
O10 0.3154 0.7515 0.5809  2 Si 1.66-1.67
O11 0.3806 0.6225 0.8437  2 Si 1.67
O12 0.3806 0.8775 0.3437  2 Si 1.67
O13 0.6194 0.1225 0.6563  2 Si 1.67
O14 0.6194 0.3775 0.1563  2 Si 1.67
O15 0.6846 0.2485 0.4191  2 Si 1.66-1.67
O16 0.6846 0.2515 0.9191  2 Si 1.66-1.67
O17 0.7116 0.6224 0.1952  1 Si 1.60
O18 0.7116 0.8776 0.6952  1 Si 1.60
O19 0.7291 0.6341 0.6672  1 Si 1.61
O20 0.7291 0.8659 0.1672  1 Si 1.61
O21 0.7925 0.0681 0.9852  1 Si 1.62
O22 0.7925 0.4319 0.4852  1 Si 1.62
O23 0.8026 0.0629 0.4203  1 Si 1.62
O24 0.8026 0.4371 0.9203  1 Si 1.62

Calculated values
Its energy relative to the lowest polymorph listed for this composition is 0.002 eV per atom. As for the crystal system: monoclinic. The symmetry is P2_1/c, No. 14.

---

Record 3
DFT (PBE) results for an optimized crystal structure of NaSiTcO5.

abc: 5.5182 5.5182 7.2510
angles: 105.21 105.21 104.67
With the nearest neighbours (Å) after each atom.
Fractional positions:
Na1 0.1704 0.8296 0.7500  5 O 2.38-2.49
Na2 0.8296 0.1704 0.2500  5 O 2.38-2.49
Si1 0.1841 0.8159 0.2500  4 O 1.64-1.65
Si2 0.8159 0.1841 0.7500  4 O 1.64-1.65
Tc1 0.5000 0.5000 0.0000  6 O 1.88-2.02
Tc2 0.5000 0.5000 0.5000  6 O 1.88-2.02
O1 0.1231 0.2577 0.9038  1 Si 1.64
O2 0.1919 0.6136 0.3822  1 Si 1.65
O3 0.2577 0.1231 0.4038  1 Si 1.64
O4 0.3864 0.8081 0.1178  1 Si 1.65
O5 0.4430 0.5570 0.7500  2 Tc 1.88
O6 0.5570 0.4430 0.2500  2 Tc 1.88
O7 0.6136 0.1919 0.8822  1 Si 1.65
O8 0.7423 0.8769 0.5962  1 Si 1.64
O9 0.8081 0.3864 0.6178  1 Si 1.65
O10 0.8769 0.7423 0.0962  1 Si 1.64

Calculated values
As for the total energy: -7.219 eV per atom. As for the crystal system: monoclinic. The symmetry is C2/c, No. 15.

---

Record 4
DFT (PBE) results for an optimized crystal structure of NaSi2TeO8.

abc: 5.5985 5.5985 5.5985
angles: 105.86 105.86 116.96
With the nearest neighbours (Å) after each atom.
Fractional positions:
Na1 0.0000 0.0000 0.0000  8 O 2.21-2.39
Si1 0.5000 0.5000 0.0000  4 O 1.65
Si2 0.7500 0.2500 0.5000  4 O 1.65
Te1 0.2500 0.7500 0.5000  8 O 2.09-2.14
O1 0.3379 0.1386 0.8007  1 Si 1.65
O2 0.3379 0.5372 0.1993  1 Si 1.65
O3 0.3778 0.0535 0.3243  1 Si 1.65
O4 0.4628 0.6621 0.8007  1 Si 1.65
O5 0.7293 0.0535 0.6757  1 Si 1.65
O6 0.8614 0.6621 0.1993  1 Si 1.65
O7 0.9465 0.2707 0.3243  1 Si 1.65
O8 0.9465 0.6222 0.6757  1 Si 1.65

Calculated values
As for the total energy: -6.083 eV per atom. As for the crystal system: tetragonal. The symmetry is I-4m2, No. 119.

---

Record 5
DFT (PBE) results for an optimized crystal structure of NaSiTeO6.

abc: 4.9898 4.9898 10.4180
angles: 90.00 90.00 120.00
With the nearest neighbours (Å) after each atom.
Fractional positions:
Na1 0.0000 0.0000 0.0000  6 O 2.43
Na2 0.0000 0.0000 0.5000  6 O 2.43
Si1 0.3333 0.6667 0.2500  6 O 1.81
Si2 0.6667 0.3333 0.7500  6 O 1.81
Te1 0.3333 0.6667 0.7500  6 O 1.96
Te2 0.6667 0.3333 0.2500  6 O 1.96
O1 0.0227 0.3828 0.1512  1 Si 1.81, 1 Te 1.96
O2 0.0227 0.6399 0.3488  1 Si 1.81, 1 Te 1.96
O3 0.3601 0.3828 0.3488  1 Si 1.81, 1 Te 1.96
O4 0.3601 0.9773 0.1512  1 Si 1.81, 1 Te 1.96
O5 0.3828 0.0227 0.6512  1 Si 1.81, 1 Te 1.96
O6 0.3828 0.3601 0.8488  1 Si 1.81, 1 Te 1.96
O7 0.6172 0.6399 0.1512  1 Si 1.81, 1 Te 1.96
O8 0.6172 0.9773 0.3488  1 Si 1.81, 1 Te 1.96
O9 0.6399 0.0227 0.8488  1 Si 1.81, 1 Te 1.96
O10 0.6399 0.6172 0.6512  1 Si 1.81, 1 Te 1.96
O11 0.9773 0.3601 0.6512  1 Si 1.81, 1 Te 1.96
O12 0.9773 0.6172 0.8488  1 Si 1.81, 1 Te 1.96

Calculated values
As for the total energy: -5.918 eV per atom. As for the crystal system: trigonal. The symmetry is P-31c, No. 163.

---

Record 6
DFT (PBE) results for an optimized crystal structure of Na2Ti2Si2O9.

abc: 8.7924 5.2876 14.7333
angles: 90.00 90.00 90.00
With the nearest neighbours (Å) after each atom.
Fractional positions:
Na1 0.0634 0.1405 0.1544  7 O 2.36-2.61
Na2 0.0634 0.8595 0.6544  7 O 2.36-2.61
Na3 0.4366 0.3595 0.6544  7 O 2.36-2.61
Na4 0.4366 0.6405 0.1544  7 O 2.36-2.61
Na5 0.5634 0.3595 0.8456  7 O 2.36-2.61
Na6 0.5634 0.6405 0.3456  7 O 2.36-2.61
Na7 0.9366 0.1405 0.3456  7 O 2.36-2.61
Na8 0.9366 0.8595 0.8456  7 O 2.36-2.61
Ti1 0.1504 0.3698 0.8312  4 O 1.84-1.97
Ti2 0.1504 0.6302 0.3312  4 O 1.84-1.97
Ti3 0.3496 0.1302 0.3312  4 O 1.84-1.97
Ti4 0.3496 0.8698 0.8312  4 O 1.84-1.97
Ti5 0.6504 0.1302 0.1688  4 O 1.84-1.97
Ti6 0.6504 0.8698 0.6688  4 O 1.84-1.97
Ti7 0.8496 0.3698 0.6688  4 O 1.84-1.97
Ti8 0.8496 0.6302 0.1688  4 O 1.84-1.97
Si1 0.1580 0.3002 0.5265  4 O 1.62-1.67
Si2 0.1580 0.6998 0.0265  4 O 1.62-1.67
Si3 0.3420 0.1998 0.0265  4 O 1.62-1.67
Si4 0.3420 0.8002 0.5265  4 O 1.62-1.67
Si5 0.6580 0.1998 0.4735  4 O 1.62-1.67
Si6 0.6580 0.8002 0.9735  4 O 1.62-1.67
Si7 0.8420 0.3002 0.9735  4 O 1.62-1.67
Si8 0.8420 0.6998 0.4735  4 O 1.62-1.67
O1 0.0000 0.4921 0.7500  2 Ti 1.90
O2 0.0000 0.5079 0.2500  2 Ti 1.90
O3 0.0062 0.2594 0.9260  1 Si 1.62
O4 0.0062 0.7406 0.4260  1 Si 1.62
O5 0.1651 0.2990 0.4161  1 Si 1.63
O6 0.1651 0.7010 0.9161  1 Si 1.63
O7 0.1834 0.0594 0.7780  2 Ti 1.84-1.94
O8 0.1834 0.9406 0.2780  2 Ti 1.84-1.94
O9 0.2350 0.4356 0.0669  2 Si 1.66-1.67
O10 0.2350 0.5644 0.5669  2 Si 1.66-1.67
O11 0.2650 0.0644 0.5669  2 Si 1.66-1.67
O12 0.2650 0.9356 0.0669  2 Si 1.66-1.67
O13 0.3166 0.4406 0.2780  2 Ti 1.84-1.94
O14 0.3166 0.5594 0.7780  2 Ti 1.84-1.94
O15 0.3349 0.2010 0.9161  1 Si 1.63
O16 0.3349 0.7990 0.4161  1 Si 1.63
O17 0.4938 0.2406 0.4260  1 Si 1.62
O18 0.4938 0.7594 0.9260  1 Si 1.62
O19 0.5000 0.0079 0.2500  2 Ti 1.90
O20 0.5000 0.9921 0.7500  2 Ti 1.90
O21 0.5062 0.2406 0.0740  1 Si 1.62
O22 0.5062 0.7594 0.5740  1 Si 1.62
O23 0.6651 0.2010 0.5839  1 Si 1.63
O24 0.6651 0.7990 0.0839  1 Si 1.63
O25 0.6834 0.4406 0.2220  2 Ti 1.84-1.94
O26 0.6834 0.5594 0.7220  2 Ti 1.84-1.94
O27 0.7350 0.0644 0.9331  2 Si 1.66-1.67
O28 0.7350 0.9356 0.4331  2 Si 1.66-1.67
O29 0.7650 0.4356 0.4331  2 Si 1.66-1.67
O30 0.7650 0.5644 0.9331  2 Si 1.66-1.67
O31 0.8166 0.0594 0.7220  2 Ti 1.84-1.94
O32 0.8166 0.9406 0.2220  2 Ti 1.84-1.94
O33 0.8349 0.2990 0.0839  1 Si 1.63
O34 0.8349 0.7010 0.5839  1 Si 1.63
O35 0.9938 0.2594 0.5740  1 Si 1.62
O36 0.9938 0.7406 0.0740  1 Si 1.62

Calculated values
As for the total energy: -7.671 eV per atom. As for the crystal system: orthorhombic. The symmetry is Pbcn, No. 60.

---

Record 7
DFT (PBE) results for an optimized crystal structure of NaTiSi2O6.

abc: 6.6462 6.6462 5.3082
angles: 101.99 101.99 83.26
With the nearest neighbours (Å) after each atom.
Fractional positions:
Na1 0.1944 0.8056 0.7500  6 O 2.41-2.45
Na2 0.8056 0.1944 0.2500  6 O 2.41-2.45
Ti1 0.4116 0.5884 0.2500  6 O 2.00-2.13
Ti2 0.5884 0.4116 0.7500  6 O 2.00-2.13
Si1 0.1144 0.3009 0.7590  4 O 1.61-1.67
Si2 0.3009 0.1144 0.2590  4 O 1.61-1.67
Si3 0.6991 0.8856 0.7410  4 O 1.61-1.67
Si4 0.8856 0.6991 0.2410  4 O 1.61-1.67
O1 0.1223 0.6078 0.3087  1 Si 1.61
O2 0.1397 0.1587 0.9873  2 Si 1.66-1.67
O3 0.1587 0.1397 0.4873  2 Si 1.66-1.67
O4 0.2933 0.4665 0.8496  1 Si 1.64
O5 0.3922 0.8777 0.1913  1 Si 1.61
O6 0.4665 0.2933 0.3496  1 Si 1.64
O7 0.5335 0.7067 0.6504  1 Si 1.64
O8 0.6078 0.1223 0.8087  1 Si 1.61
O9 0.7067 0.5335 0.1504  1 Si 1.64
O10 0.8413 0.8603 0.5127  2 Si 1.66-1.67
O11 0.8603 0.8413 0.0127  2 Si 1.66-1.67
O12 0.8777 0.3922 0.6913  1 Si 1.61

Calculated values
As for the total energy: -7.666 eV per atom. As for the crystal system: monoclinic. The symmetry is C2/c, No. 15.

---

Record 8
DFT (PBE) results for an optimized crystal structure of Na16Ti7Si8O40.

abc: 10.5650 10.5650 11.0273
angles: 101.98 101.98 124.22
With the nearest neighbours (Å) after each atom.
Fractional positions:
Na1 0.0000 0.5000 0.5000  6 O 2.51-2.59
Na2 0.0073 0.7662 0.7524  5 O 2.25-2.50
Na3 0.1749 0.1749 0.7539  5 O 2.26-2.41
Na4 0.2338 0.9927 0.2476  5 O 2.25-2.50
Na5 0.2403 0.7597 0.0000  6 O 2.41-2.68
Na6 0.2569 0.5030 0.7507  6 O 2.40-2.55
Na7 0.3314 0.3314 0.2453  5 O 2.27-2.49
Na8 0.4970 0.7431 0.2493  6 O 2.40-2.55
Na9 0.5000 0.0000 0.5000  6 O 2.51-2.59
Na10 0.5030 0.2569 0.7507  6 O 2.40-2.55
Na11 0.6686 0.6686 0.7547  5 O 2.27-2.49
Na12 0.7431 0.4970 0.2493  6 O 2.40-2.55
Na13 0.7597 0.2403 0.0000  6 O 2.41-2.68
Na14 0.7662 0.0073 0.7524  5 O 2.25-2.50
Na15 0.8251 0.8251 0.2461  5 O 2.26-2.41
Na16 0.9927 0.2338 0.2476  5 O 2.25-2.50
Ti1 0.1417 0.6446 0.2543  1 O 1.72
Ti2 0.2202 0.2202 0.4713  1 O 1.70
Ti3 0.3554 0.8583 0.7457  1 O 1.72
Ti4 0.5000 0.5000 0.0000  6 O 1.90-2.04
Ti5 0.6446 0.1417 0.2543  1 O 1.72
Ti6 0.7798 0.7798 0.5287  1 O 1.70
Ti7 0.8583 0.3554 0.7457  1 O 1.72
Si1 0.1233 0.8767 0.5000  4 O 1.65
Si2 0.1308 0.3896 0.0042  4 O 1.62-1.65
Si3 0.3761 0.6239 0.5000  4 O 1.64-1.65
Si4 0.3896 0.1308 0.0042  4 O 1.62-1.65
Si5 0.6104 0.8692 0.9958  4 O 1.62-1.65
Si6 0.6239 0.3761 0.5000  4 O 1.64-1.65
Si7 0.8692 0.6104 0.9958  4 O 1.62-1.65
Si8 0.8767 0.1233 0.5000  4 O 1.65
O1 0.0313 0.5308 0.7460  1 Ti 1.72
O2 0.0526 0.7004 0.1134  1 Si 1.65
O3 0.0762 0.0762 0.3116  1 Ti 1.70
O4 0.0808 0.2293 0.5675  1 Si 1.65
O5 0.1097 0.2838 0.0971  1 Si 1.62
O6 0.1617 0.8098 0.6143  1 Si 1.65
O7 0.1902 0.8383 0.3857  1 Si 1.65
O8 0.2051 0.5741 0.1098  1 Si 1.65
O9 0.2293 0.0808 0.5675  1 Si 1.65
O10 0.2588 0.4108 0.9326  1 Si 1.64
O11 0.2734 0.4214 0.4394  1 Si 1.64
O12 0.2838 0.1097 0.0971  1 Si 1.62
O13 0.2996 0.9474 0.8866  1 Si 1.65
O14 0.3143 0.6663 0.6172  1 Si 1.65
O15 0.3337 0.6857 0.3828  1 Si 1.65
O16 0.4108 0.2588 0.9326  1 Si 1.64
O17 0.4214 0.2734 0.4394  1 Si 1.64
O18 0.4259 0.7949 0.8902  1 Si 1.65
O19 0.4692 0.9687 0.2540  1 Ti 1.72
O20 0.4757 0.4757 0.8190  1 Ti 1.90
O21 0.5243 0.5243 0.1810  1 Ti 1.90
O22 0.5308 0.0313 0.7460  1 Ti 1.72
O23 0.5741 0.2051 0.1098  1 Si 1.65
O24 0.5786 0.7266 0.5606  1 Si 1.64
O25 0.5892 0.7412 0.0674  1 Si 1.64
O26 0.6663 0.3143 0.6172  1 Si 1.65
O27 0.6857 0.3337 0.3828  1 Si 1.65
O28 0.7004 0.0526 0.1134  1 Si 1.65
O29 0.7162 0.8903 0.9029  1 Si 1.62
O30 0.7266 0.5786 0.5606  1 Si 1.64
O31 0.7412 0.5892 0.0674  1 Si 1.64
O32 0.7707 0.9192 0.4325  1 Si 1.65
O33 0.7949 0.4259 0.8902  1 Si 1.65
O34 0.8098 0.1617 0.6143  1 Si 1.65
O35 0.8383 0.1902 0.3857  1 Si 1.65
O36 0.8903 0.7162 0.9029  1 Si 1.62
O37 0.9192 0.7707 0.4325  1 Si 1.65
O38 0.9238 0.9238 0.6884  1 Ti 1.70
O39 0.9474 0.2996 0.8866  1 Si 1.65
O40 0.9687 0.4692 0.2540  1 Ti 1.72

Calculated values
As for the total energy: -6.919 eV per atom. As for the crystal system: monoclinic. The symmetry is C2/m, No. 12.

---

The evaluated total magnetization for the records listed, in turn: 0.00, 0.00, 1.56, 1.01, 1.03, 0.00, 1.00, 4.20 μB per formula unit.